Entry from Alexandria via LeMat-Bulk: crystalline Ba3Mn2O6 at its relaxed geometry (PBE with a Hubbard U).

Spin magnetization = 8.0 μB per formula unit
Volume = 178.3 Å³/f.u.
ρ = 5.754 g/cm³
Calculated total energy = -6.7455 eV per atom
N(E_F) = 0.270 states/eV/atom

Cell: 4.0330 4.0330 21.9232 Å, 90.00 90.00 90.00°
With the nearest neighbours (Å) after each atom.
Space group I4/mmm (No. 139)
Symmetry-distinct sites (fractional):
Ba: 0.0000 0.0000 0.0000 x2  8 O 2.77
Ba: 0.0000 0.0000 0.1825 x4  9 O 2.73-2.91
Mn: 0.0000 0.0000 0.3986 x4  5 O 2.00-2.04
O: 0.0000 0.0000 0.3071 x4  1 Mn 2.00
O: 0.0000 0.5000 0.0868 x8  2 Mn 2.04